Crystalline LiCeIrPb at its relaxed geometry, computed with PBE.

Unit cell a=4.8470 b=4.8470 c=4.8470 alpha=60.00 beta=60.00 gamma=60.00
Each line ends with the local moment (μB).
Atoms (fractional coordinates):
Pb (0.2500, 0.2500, 0.2500)  -0.01
Ir (0.0000, 0.0000, 0.0000)  -0.03
Ce (0.7500, 0.7500, 0.7500)  0.18
Li (0.5000, 0.5000, 0.5000)  0.00

## Properties
The symmetry is F-43m, No. 216. The formation energy is -424 meV per atom. Its volume is 80.5 Å³/cell. The value obtained for the total DFT energy (no corrections) is -22.1 eV per cell.



Crystalline Ni4IrPt5 at its relaxed geometry, computed with PBE.

Unit cell a=2.7333 b=2.7333 c=18.4533 alpha=90.00 beta=90.00 gamma=90.00
Each line ends with the local moment (μB).
Atoms (fractional coordinates):
Ni (0.0000, 0.0000, 0.2059)  0.66
Ni (0.0000, 0.0000, 0.4020)  0.73
Ni (0.0000, 0.0000, 0.5980)  0.73
Ni (0.0000, 0.0000, 0.7941)  0.66
Ir (0.0000, 0.0000, 0.0000)  0.11
Pt (0.5000, 0.5000, 0.1073)  0.18
Pt (0.5000, 0.5000, 0.3040)  0.32
Pt (0.5000, 0.5000, 0.5000)  0.35
Pt (0.5000, 0.5000, 0.6960)  0.32
Pt (0.5000, 0.5000, 0.8927)  0.18

## Properties
The symmetry is P4/mmm, No. 123. The formation energy is -59 meV per atom. Its volume is 137.9 Å³/cell. The value obtained for the total DFT energy (no corrections) is -62.8 eV per cell.



Crystalline CsK2LiSb at its relaxed geometry, computed with PBE.

Unit cell a=6.4953 b=6.4953 c=5.2377 alpha=90.00 beta=90.00 gamma=90.00
Atoms (fractional coordinates):
Cs (0.5000, 0.5000, 0.5000)
Sb (0.0000, 0.0000, 0.5000)
K (0.0000, 0.5000, 0.0000)
K (0.5000, 0.0000, 0.0000)
Li (0.0000, 0.0000, 0.0000)

## Properties
The symmetry is P4/mmm, No. 123. The value obtained for the raw formation energy is -1.06 eV/f.u. Its energy relative to the lowest polymorph listed for this composition is 0.103 eV/f.u. Its volume is 221.0 Å³/cell. The value obtained for the total DFT energy (no corrections) is -10.1 eV per cell.



Crystalline PmAlH at its relaxed geometry, computed with PBE.

Unit cell a=4.0664 b=4.3265 c=6.3996 alpha=90.00 beta=71.44 gamma=90.00
Atoms (fractional coordinates):
Pm (0.4699, 0.7162, 0.0794)
Pm (0.1533, 0.2162, 0.7135)
Al (0.8689, 0.2162, 0.2809)
Al (0.7544, 0.7162, 0.5120)
H (0.5542, 0.2162, 0.9133)
H (0.0690, 0.7162, 0.8796)

## Properties
The symmetry is P2_1/m, No. 11. Its energy relative to the lowest polymorph listed for this composition is 0.000 eV/f.u. Its volume is 106.7 Å³/cell. The value obtained for the total DFT energy (no corrections) is -26.7 eV per cell.



Crystalline KAcCdCl6 at its relaxed geometry, computed with PBE.

Unit cell a=7.2561 b=7.2561 c=13.6067 alpha=90.00 beta=90.00 gamma=120.00
Atoms (fractional coordinates):
K (0.0000, 0.0000, 0.0000)
K (0.0000, 0.0000, 0.5000)
Ac (0.3333, 0.6667, 0.2500)
Ac (0.6667, 0.3333, 0.7500)
Cd (0.6667, 0.3333, 0.2500)
Cd (0.3333, 0.6667, 0.7500)
Cl (0.6480, 0.6249, 0.1362)
Cl (0.9768, 0.3520, 0.1362)
Cl (0.3520, 0.9768, 0.6362)
Cl (0.0232, 0.6480, 0.8638)
Cl (0.3751, 0.3520, 0.3638)
Cl (0.9768, 0.6249, 0.3638)
Cl (0.6249, 0.9768, 0.8638)
Cl (0.6480, 0.0232, 0.3638)
Cl (0.0232, 0.3751, 0.6362)
Cl (0.3751, 0.0232, 0.1362)
Cl (0.6249, 0.6480, 0.6362)
Cl (0.3520, 0.3751, 0.8638)

## Properties
The symmetry is P-31c, No. 163. The value obtained for the raw formation energy is -16.87 eV/f.u. Its volume is 620.4 Å³/cell. The value obtained for the total DFT energy (no corrections) is -68.1 eV per cell.



Crystalline TmInNiPd at its relaxed geometry, computed with PBE.

Unit cell a=4.6788 b=4.6788 c=4.6788 alpha=60.00 beta=60.00 gamma=60.00
Atoms (fractional coordinates):
Ni (0.2500, 0.2500, 0.2500)
Tm (0.0000, 0.0000, 0.0000)
Pd (0.7500, 0.7500, 0.7500)
In (0.5000, 0.5000, 0.5000)

## Properties
The symmetry is F-43m, No. 216. The formation energy is -601 meV per atom. Its volume is 72.4 Å³/cell. The value obtained for the total DFT energy (no corrections) is -20.6 eV per cell.